(1)
## Na2FeCuAg (PBE-GGA)

Data for a relaxed structure of Na2FeCuAg.

Results
- Space-group type: P4/mmm (123)
- Energy of formation from the pure elements: 0.915 eV/atom
- Size of the total moment: 3.0 μB per cell

abc: 5.4207 4.4965 5.4207
angles: 90.00 90.00 90.00
Closest atoms and distances in Å follow each position.
Atoms (fractional coordinates):
Na (0.5000, 0.0000, 0.0000)  2 Fe 2.71
Na (0.0000, 0.0000, 0.5000)  2 Fe 2.71
Fe (0.0000, 0.0000, 0.0000)  2 Cu 2.25
Ag (0.5000, 0.5000, 0.5000)  8 Na 3.52, 4 Cu 3.83
Cu (0.0000, 0.5000, 0.0000)  2 Fe 2.25

---

(2)
## Sr2HoGeSe5 (PBE-GGA)

Data for a relaxed structure of Sr2HoGeSe5.

Results
- Space-group type: Cmc2_1 (36)
- Size of the total moment: 0.0 μB per cell
- Raw formation energy: -1.494 eV per atom

abc: 4.3294 9.5047 12.5777
angles: 90.00 90.00 103.16
Closest atoms and distances in Å follow each position.
Atoms (fractional coordinates):
Se (0.4994, 0.9988, 0.7685)  1 Ge 2.44
Se (0.3161, 0.6323, 0.3685)  1 Ge 2.54
Se (0.7080, 0.4161, 0.1726)  2 Ho 2.86
Se (0.6839, 0.3677, 0.8685)  1 Ge 2.54
Se (0.9529, 0.9059, 0.5418)  2 Ge 2.50
Se (0.6427, 0.2854, 0.5033)  1 Ho 2.76
Se (0.5006, 0.0012, 0.2685)  1 Ge 2.44
Se (0.0471, 0.0941, 0.0418)  2 Ge 2.50
Se (0.3573, 0.7146, 0.0033)  1 Ho 2.76
Se (0.2920, 0.5839, 0.6726)  2 Ho 2.86
Sr (0.1233, 0.2467, 0.3200)  6 Se 3.18-3.25
Sr (0.8824, 0.7649, 0.1816)  8 Se 3.15-3.52
Sr (0.8767, 0.7533, 0.8200)  6 Se 3.18-3.25
Sr (0.1176, 0.2351, 0.6816)  8 Se 3.15-3.52
Ge (0.4435, 0.8869, 0.4432)  4 Se 2.44-2.54
Ge (0.5565, 0.1131, 0.9432)  4 Se 2.44-2.54
Ho (0.7910, 0.5820, 0.5244)  6 Se 2.76-3.01
Ho (0.2090, 0.4180, 0.0244)  6 Se 2.76-3.01

---

(3)
## Er4SnPbSe2 (PBE-GGA)

Data for a relaxed structure of Er4SnPbSe2.

Results
- Space-group type: P2/m (10)
- Size of the total moment: 0.0 μB per cell
- Raw formation energy: -1.113 eV per atom

abc: 4.2043 7.4147 7.2580
angles: 70.93 90.00 90.00
Closest atoms and distances in Å follow each position.
Atoms (fractional coordinates):
Er (0.5000, 0.2414, 0.7498)  3 Se 2.93-2.97, 2 Sn 3.02, 1 Pb 3.04
Er (0.0000, 0.7610, 0.7445)  3 Se 2.94-2.95, 1 Sn 3.02, 2 Pb 3.04
Er (0.0000, 0.2390, 0.2555)  3 Se 2.94-2.95, 1 Sn 3.02, 2 Pb 3.04
Er (0.5000, 0.7586, 0.2502)  3 Se 2.93-2.97, 2 Sn 3.02, 1 Pb 3.04
Se (0.5000, 0.0000, 0.5000)  6 Er 2.93-2.94
Se (0.0000, 0.0000, 0.0000)  6 Er 2.95-2.97
Sn (0.0000, 0.5000, 0.5000)  6 Er 3.02
Pb (0.5000, 0.5000, 0.0000)  6 Er 3.04